! GdTm2Mg (PBE, relaxed); values from VASP
&SYSTEM
  ibrav = 0, nat = 4, ntyp = 3
/
ATOMIC_SPECIES
Mg 24.30 Mg.upf
Tm 168.93 Tm.upf
Gd 157.25 Gd.upf
CELL_PARAMETERS angstrom
-3.816 2.556 -2.951
-0.721 -1.308 -5.251
-4.497 -2.677 -1.554
ATOMIC_POSITIONS crystal
Mg 0.500 0.500 0.500
Tm 0.750 0.750 0.750
Tm 0.250 0.250 0.250
Gd 0.000 0.000 0.000
! **Energy above the lowest structure with this stoichiometry**: 91 meV/atom
! **ΔE_f**: 0.0767 eV per atom
! **Calculated volume**: 115 Å³/f.u.
! **Space group**: No. 225